The following is a PBE calculation of crystalline NaY2F6 at its relaxed geometry, from Alexandria via LeMat-Bulk.

Calculated values
- Crystal system: tetragonal
- ΔE to the lowest computed polymorph: 0 meV/atom
- Space group: I4/mmm (139)
- DOS at the Fermi energy: 0.25 states/eV/atom
- Formation energy from raw total energies: -3.52 eV/atom
- Size of the total moment: 0.97 Bohr magnetons per cell

Unit cell a=8.958 b=8.958 c=8.958 alpha=155.16 beta=155.16 gamma=35.42
Fractional coordinates of all 9 atoms:
Na: 0.000 0.000 0.000
Y: 0.339 0.339 0.000
Y: 0.661 0.661 0.000
F: 0.088 0.588 0.500
F: 0.250 0.750 0.500
F: 0.412 0.912 0.500
F: 0.588 0.088 0.500
F: 0.750 0.250 0.500
F: 0.912 0.412 0.500